No. 1
YReAs | PBE | relaxed

Lattice parameters (Å, degrees): 10.563 4.172 6.588 90.00 116.69 90.00
Sites, in units of the cell vectors:
Y (0.000, 0.000, 0.000)
Y (0.208, 0.500, 0.458)
Y (0.500, 0.500, 0.000)
Y (0.708, 0.000, 0.458)
Re (0.225, 0.500, 0.999)
Re (0.332, 0.000, 0.211)
Re (0.725, 0.000, 0.999)
Re (0.832, 0.500, 0.211)
As (0.247, 0.000, 0.777)
As (0.461, 0.000, 0.634)
As (0.747, 0.500, 0.777)
As (0.961, 0.500, 0.634)

Computed properties:
The value obtained for the mass density is 8.96 g/cm3. Its total energy is -8.270 eV/atom. The spin magnetization is 0.000 μB/atom.

=====

No. 2
YReAs3 | PBE | relaxed

Lattice parameters (Å, degrees): 5.191 5.191 5.191 90.00 90.00 90.00
Sites, in units of the cell vectors:
Y (0.000, 0.000, 0.000)
Re (0.500, 0.500, 0.500)
As (0.000, 0.000, 0.500)
As (0.000, 0.500, 0.000)
As (0.500, 0.000, 0.000)

Computed properties:
The value obtained for the mass density is 5.93 g/cm3. Its total energy is -4.798 eV/atom. The spin magnetization is 0.000 μB/atom.

=====

No. 3
YReAs2 | PBE | relaxed

Lattice parameters (Å, degrees): 3.894 3.894 5.504 90.00 90.00 90.00
Sites, in units of the cell vectors:
Y (0.000, 0.000, 0.000)
Re (0.500, 0.500, 0.500)
As (0.000, 0.000, 0.500)
As (0.500, 0.500, 0.000)

Computed properties:
The value obtained for the mass density is 8.45 g/cm3. Its total energy is -7.111 eV/atom. The spin magnetization is 0.615 μB/atom.

=====

No. 4
YReAs2 | PBE | relaxed

Lattice parameters (Å, degrees): 3.210 3.210 8.231 90.00 90.00 90.00
Sites, in units of the cell vectors:
Y (0.000, 0.000, 0.000)
Re (0.500, 0.500, 0.745)
As (0.000, 0.000, 0.604)
As (0.500, 0.500, 0.260)

Computed properties:
The value obtained for the mass density is 8.32 g/cm3. Its total energy is -7.124 eV/atom. The spin magnetization is 0.000 μB/atom.

=====

No. 5
YReAs2 | PBE | relaxed

Lattice parameters (Å, degrees): 6.682 6.682 6.682 90.00 90.00 90.00
Sites, in units of the cell vectors:
Y (0.000, 0.000, 0.000)
Y (0.000, 0.500, 0.500)
Y (0.500, 0.000, 0.500)
Y (0.500, 0.500, 0.000)
Re (0.250, 0.250, 0.750)
Re (0.250, 0.750, 0.250)
Re (0.750, 0.250, 0.250)
Re (0.750, 0.750, 0.750)
As (0.000, 0.000, 0.500)
As (0.000, 0.500, 0.000)
As (0.250, 0.250, 0.250)
As (0.250, 0.750, 0.750)
As (0.500, 0.000, 0.000)
As (0.500, 0.500, 0.500)
As (0.750, 0.250, 0.750)
As (0.750, 0.750, 0.250)

Computed properties:
The value obtained for the mass density is 9.46 g/cm3. Its total energy is -6.804 eV/atom. The spin magnetization is 0.000 μB/atom.

=====

No. 6
YReAs | PBE | relaxed

Lattice parameters (Å, degrees): 3.535 3.535 5.766 90.00 90.00 120.00
Sites, in units of the cell vectors:
Y (0.000, 0.000, 0.000)
Re (0.333, 0.667, 0.600)
As (0.667, 0.333, 0.355)

Computed properties:
The value obtained for the mass density is 9.31 g/cm3. Its total energy is -7.873 eV/atom. The spin magnetization is 0.000 μB/atom.

=====

| no. | formation enthalpy at 0 K (meV/atom) |
| --- | --- |
| 1 | -416 |
| 2 | 1774 |
| 3 | -58 |
| 4 | -72 |
| 5 | 249 |
| 6 | -19 |